Cd4Ir | GGA-PBE | relaxed

## Properties
ΔH_f (0 K) (eV/f.u.): 2.42
Raw total energy (eV/atom): -2.02
DOS at the Fermi energy (states/eV per cell): 2.28

Unit cell a=8.0539 b=8.0539 c=8.0539 alpha=152.93 beta=152.93 gamma=38.65
Each line ends with the local moment (μB).
Atoms (fractional coordinates):
Cd: 0.5889 0.5889 0.0000  0.00
Cd: 0.7500 0.2500 0.5000  0.00
Cd: 0.4111 0.4111 0.0000  0.00
Cd: 0.2500 0.7500 0.5000  0.00
Ir: 0.0000 0.0000 0.0000  0.29

---

Cd3Ir5 | GGA-PBE | relaxed

## Properties
ΔH_f (0 K) (eV/f.u.): 3.82
Raw total energy (eV/atom): -5.40
DOS at the Fermi energy (states/eV per cell): 15.52
E above lowest polymorph (meV per atom): 0

Unit cell a=5.1217 b=7.9127 c=7.9175 alpha=96.04 beta=108.92 gamma=71.07
Atoms (fractional coordinates):
Ir: 0.2505 0.4999 0.5004
Cd: 0.2081 0.0842 0.5002
Ir: 0.7767 0.6812 0.2346
Ir: 0.7243 0.2342 0.6816
Ir: 0.0433 0.6811 0.7665
Cd: 0.2921 0.4998 0.0846
Cd: 0.7504 0.0001 0.0003
Ir: 0.4577 0.7661 0.6815
Ir: 0.5434 0.2340 0.3194
Ir: 0.9577 0.3189 0.2343
Ir: 0.7506 0.5001 0.5005
Ir: 0.2768 0.7658 0.3193
Cd: 0.7925 0.9158 0.5007
Cd: 0.2503 0.9999 0.0000
Cd: 0.7078 0.5002 0.9163
Ir: 0.2243 0.3188 0.7663

---

Cd3Ir2 | GGA-PBE | relaxed

## Properties
ΔH_f (0 K) (eV/f.u.): 1.14
Raw total energy (eV/atom): -3.87
DOS at the Fermi energy (states/eV per cell): 4.65

Unit cell a=12.0386 b=12.0386 c=12.0386 alpha=14.02 beta=14.02 gamma=14.02
Each line ends with the local moment (μB).
Atoms (fractional coordinates):
Cd: 0.7951 0.7951 0.7951  0.00
Ir: 0.6028 0.6028 0.6028  0.19
Cd: 0.2049 0.2049 0.2049  0.00
Ir: 0.3972 0.3972 0.3972  0.19
Cd: 0.0000 0.0000 0.0000  0.00

---

CdIr8 | GGA-PBE | relaxed

## Properties
ΔH_f (0 K) (eV/f.u.): 1.36
Raw total energy (eV/atom): -7.83
DOS at the Fermi energy (states/eV per cell): 10.44

Unit cell a=6.2085 b=6.2085 c=6.2085 alpha=95.72 beta=95.72 gamma=143.20
Atoms (fractional coordinates):
Cd: 0.0000 0.0000 0.0000
Ir: 0.3246 0.3246 0.6493
Ir: 0.6754 0.3246 0.0000
Ir: 0.6636 0.0000 0.6636
Ir: 0.3246 0.6754 0.0000
Ir: 0.6754 0.6754 0.3507
Ir: 0.0000 0.6636 0.6636
Ir: 0.0000 0.3364 0.3364
Ir: 0.3364 0.0000 0.3364

---

Cd5Ir | GGA-PBE | relaxed

## Properties
ΔH_f (0 K) (eV/f.u.): 0.45
Raw total energy (eV/atom): -2.16
DOS at the Fermi energy (states/eV per cell): 1.28
E above lowest polymorph (meV per atom): 2

Unit cell a=8.4631 b=8.4631 c=4.7458 alpha=90.00 beta=90.00 gamma=159.03
Atoms (fractional coordinates):
Ir: 0.8885 0.1115 0.5000
Cd: 0.6631 0.3369 0.0000
Cd: 0.2396 0.7604 0.5000
Cd: 0.9948 0.0052 0.0000
Cd: 0.3439 0.6561 0.0000
Cd: 0.5368 0.4632 0.5000

---

Cd3Ir | GGA-PBE | relaxed

## Properties
ΔH_f (0 K) (eV/f.u.): 0.55
Raw total energy (eV/atom): -2.76
DOS at the Fermi energy (states/eV per cell): 1.59

Unit cell a=3.0644 b=4.1120 c=6.0111 alpha=90.00 beta=90.00 gamma=90.00
Atoms (fractional coordinates):
Ir: 0.5000 0.5000 0.2500
Cd: 0.0000 0.0000 0.4808
Cd: 0.5000 0.5000 0.7500
Cd: 0.0000 0.0000 0.0192

---

What did the fifth record say?
Cd5Ir | GGA-PBE | relaxed

## Properties
ΔH_f (0 K) (eV/f.u.): 0.45
Raw total energy (eV/atom): -2.16
DOS at the Fermi energy (states/eV per cell): 1.28
E above lowest polymorph (meV per atom): 2

Unit cell a=8.4631 b=8.4631 c=4.7458 alpha=90.00 beta=90.00 gamma=159.03
Atoms (fractional coordinates):
Ir: 0.8885 0.1115 0.5000
Cd: 0.6631 0.3369 0.0000
Cd: 0.2396 0.7604 0.5000
Cd: 0.9948 0.0052 0.0000
Cd: 0.3439 0.6561 0.0000
Cd: 0.5368 0.4632 0.5000

---

ΔH_f (0 K) of number 3 (Cd3Ir2)?
1.14 eV/f.u.